Zn2CrPbF8 after structural relaxation, computed with PBE+U.

The structure in extended XYZ format:
```
12
Lattice="-3.658 3.658 3.525 3.658 -3.658 3.525 3.658 3.658 -3.525" Properties=species:S:1:pos:R:3 pbc="T T T"
Zn 0.000 0.000 0.000
Zn 0.000 3.658 1.762
Cr 0.000 0.000 3.525
Pb 3.658 0.000 1.762
F 3.658 1.505 -0.495
F 2.362 3.658 -2.119
F 1.296 0.000 1.406
F 1.505 3.658 0.495
F 2.153 0.000 4.020
F 3.658 2.362 2.119
F 0.000 2.153 3.030
F 0.000 1.296 5.643
```

Properties
- uncorrected energy (eV/atom) = -4.6865
- size of the total moment (μB/atom) = 0.333
- D(E_F) (states/eV/cell) = 0.0